This record from the Alexandria database describes RbIn2Au4 after structural relaxation. The functional is PBE-GGA.

a = 8.7318 Å, b = 8.7318 Å, c = 4.3607 Å
α = 90.00°, β = 90.00°, γ = 90.00°
With the nearest neighbours (Å) after each atom.
Fractional positions:
Rb 0.0000 0.0000 0.0000  6 In 3.39-3.53, 8 Au 3.78
Rb 0.5000 0.5000 0.5000  6 In 3.39-3.53, 8 Au 3.78
In 0.2252 0.2252 0.5000  6 Au 2.83-2.85
In 0.2748 0.7252 0.0000  6 Au 2.83-2.85
In 0.7252 0.2748 0.0000  6 Au 2.83-2.85
In 0.7748 0.7748 0.5000  6 Au 2.83-2.85
Au 0.0793 0.6560 0.5000  3 In 2.83-2.85, 5 Au 3.06-3.07
Au 0.1560 0.4207 0.0000  3 In 2.83-2.85, 5 Au 3.06-3.07
Au 0.3440 0.9207 0.5000  3 In 2.83-2.85, 5 Au 3.06-3.07
Au 0.4207 0.1560 0.0000  3 In 2.83-2.85, 5 Au 3.06-3.07
Au 0.5793 0.8440 0.0000  3 In 2.83-2.85, 5 Au 3.06-3.07
Au 0.6560 0.0793 0.5000  3 In 2.83-2.85, 5 Au 3.06-3.07
Au 0.8440 0.5793 0.0000  3 In 2.83-2.85, 5 Au 3.06-3.07
Au 0.9207 0.3440 0.5000  3 In 2.83-2.85, 5 Au 3.06-3.07

Space group ... P4_2/mnm
Uncorrected energy ... -2.958 eV per atom
Magnetization ... 0.0 Bohr magnetons per cell
Crystal system ... tetragonal
DOS at the Fermi energy ... 2.1 states/eV/f.u.
Energy of formation ... -3.8 kcal/mol of atoms